Record 1
VASP calculation (GGA-PBE) on a relaxed structure of SrHgSe2O6.

abc: 5.6017 5.6017 18.3077
angles: 90.00 90.00 120.00
With the nearest neighbours (Å) after each atom.
Space group R-3 (No. 148, hexagonal axes)
Symmetry-distinct sites (fractional):
1 Sr 0.0000 0.0000 0.0000  6 O 2.61
2 Hg 0.0000 0.0000 0.5000  6 O 2.47
3 Se 0.0000 0.0000 0.2095  3 O 1.74
4 O 0.0229 0.2917 0.2500  1 Se 1.74

Summary:
Raw formation energy, kcal/mol of atoms: -27.97
Crystal system: trigonal
M_tot, μB/cell: 0.00

Record 2
VASP calculation (GGA-PBE) on a relaxed structure of SrHgSe2O8.

abc: 5.2189 5.2189 22.5354
angles: 90.00 90.00 120.00
With the nearest neighbours (Å) after each atom.
Space group R-3 (No. 148, hexagonal axes)
Symmetry-distinct sites (fractional):
1 Sr 0.0000 0.0000 0.0000  12 O 2.86-3.02
2 Hg 0.0000 0.0000 0.5000  6 O 2.43
3 Se 0.0000 0.0000 0.2529  4 O 1.67-1.68
4 O 0.0000 0.0000 0.3271  1 Se 1.67
5 O 0.0088 0.6312 0.4359  1 Se 1.68

Summary:
Raw formation energy, kcal/mol of atoms: -23.93
Crystal system: trigonal
M_tot, μB/cell: 0.00